PBE-GGA LiCr2Au, optimized geometry; density = 8.93 g/cm3; space-group type = Cmmm; M_tot = 0.00 μB/atom; energy of formation from the pure elements = 640 meV per atom; E_tot = -21.9 eV/cell
1.0
-0.660 -1.928 1.539
2.549 -0.152 -0.025
0.398 5.525 7.092
Cr Li Au
2 1 1
direct
0.000 0.000 0.000
0.000 0.000 0.500
0.500 0.500 0.250
0.500 0.500 0.750